This record from Alexandria describes a relaxed BaMgPS2 crystal. The functional is GGA-PBE.

## Properties
- Formation energy without anion corrections: -0.66 eV per atom
- Calculated density: 3.48 g cm⁻³
- VASP energy: -4.10 eV per atom
- Excess energy over the best structure of this formula in the dataset: 0.0000 eV per atom

abc: 5.0375 5.0375 4.8338
angles: 90.00 90.00 90.00
Atoms (fractional coordinates):
Ba1 0.0000 0.0000 0.0000
Mg1 0.5000 0.5000 0.5000
P1 0.5000 0.5000 0.0000
S1 0.0000 0.5000 0.5000
S2 0.5000 0.0000 0.5000



This record from Alexandria describes a relaxed BaMgPS2 crystal. The functional is GGA-PBE.

## Properties
- Formation energy without anion corrections: 0.61 eV per atom
- Calculated density: 2.37 g cm⁻³
- VASP energy: -2.83 eV per atom
- Excess energy over the best structure of this formula in the dataset: 1.2674 eV per atom

abc: 5.6777 5.6777 5.5881
angles: 90.00 90.00 90.00
Atoms (fractional coordinates):
Ba1 0.0000 0.0000 0.0000
Mg1 0.5000 0.5000 0.5000
P1 0.0000 0.0000 0.5000
S1 0.0000 0.5000 0.0000
S2 0.5000 0.0000 0.0000



This record from Alexandria describes a relaxed BaMgSb2P crystal. The functional is GGA-PBE.

## Properties
- Formation energy without anion corrections: -0.12 eV per atom
- Calculated density: 4.74 g cm⁻³
- VASP energy: -3.56 eV per atom

abc: 5.5338 5.5338 4.9889
angles: 90.00 90.00 90.00
Atoms (fractional coordinates):
Ba1 0.0000 0.0000 0.0000
Mg1 0.5000 0.5000 0.5000
Sb1 0.0000 0.5000 0.5000
Sb2 0.5000 0.0000 0.5000
P1 0.5000 0.5000 0.0000



This record from Alexandria describes a relaxed BaMgP2Se8 crystal. The functional is GGA-PBE.

## Properties
- Formation energy without anion corrections: -0.50 eV per atom
- Calculated density: 4.53 g cm⁻³
- VASP energy: -4.02 eV per atom

abc: 6.0694 6.0694 9.8339
angles: 90.00 90.00 120.00
Atoms (fractional coordinates):
Ba1 0.0000 0.0000 0.0000
Mg1 0.0000 0.0000 0.5000
P1 0.3333 0.6667 0.7550
P2 0.6667 0.3333 0.2450
Se1 0.0354 0.6826 0.3122
Se2 0.3174 0.3528 0.3122
Se3 0.3333 0.6667 0.9784
Se4 0.3528 0.0354 0.6878
Se5 0.6472 0.9646 0.3122
Se6 0.6667 0.3333 0.0216
Se7 0.6826 0.6472 0.6878
Se8 0.9646 0.3174 0.6878



This record from Alexandria describes a relaxed BaMg2SiP crystal. The functional is GGA-PBE.

## Properties
- Formation energy without anion corrections: 0.07 eV per atom
- Calculated density: 2.64 g cm⁻³
- VASP energy: -3.12 eV per atom

abc: 4.9367 4.9367 6.3212
angles: 90.00 90.00 90.00
Atoms (fractional coordinates):
Ba1 0.0000 0.0000 0.0000
Mg1 0.0000 0.5000 0.5000
Mg2 0.5000 0.0000 0.5000
Si1 0.0000 0.0000 0.5000
P1 0.5000 0.5000 0.0000



This record from Alexandria describes a relaxed BaMgTaP2 crystal. The functional is GGA-PBE.

## Properties
- Calculated density: 5.30 g cm⁻³
- VASP energy: -5.52 eV per atom
- Formation energy: -0.286 eV/atom

abc: 4.9224 4.9224 5.2323
angles: 90.00 90.00 90.00
Atoms (fractional coordinates):
Ba1 0.0000 0.0000 0.0000
Mg1 0.5000 0.5000 0.0000
Ta1 0.5000 0.5000 0.5000
P1 0.0000 0.5000 0.5000
P2 0.5000 0.0000 0.5000



Q: The highest VASP energy belongs to which entry?
A: number 2